{"formula": "ZnPdPb", "functional": "PBE-GGA", "state": "relaxed", "lattice_angstrom": [[0.000, 3.202, 3.202], [3.202, 0.000, 3.202], [3.202, 3.202, 0.000]], "species": ["Zn", "Pd", "Pb"], "fractional_positions": [[0.000, 0.000, 0.000], [0.250, 0.250, 0.250], [0.500, 0.500, 0.500]], "total_energy_ev_per_atom": -3.556, "dos_ef_per_ev_cell": 2.3, "total_magnetization_mub_per_fu": 0.00}